KRu2F8 after structural relaxation. Source: the Alexandria database, functional PBE.

Properties
The total energy comes out at -4.940 eV per atom. The value obtained for the formation energy without anion corrections is -19.720 eV per formula unit. The total magnetization is 5.4 μB/f.u. Its volume is 191 Å³/cell.

POSCAR file:
```
KRu2F8
1.0
-3.006 -3.233 -0.654
-0.282 2.459 -6.150
5.342 -5.587 3.187
F K Ru
8 1 2
Direct
0.231 0.819 0.409 F
0.730 0.776 0.614 F
0.729 0.778 0.164 F
0.769 0.181 0.591 F
0.270 0.224 0.386 F
0.271 0.222 0.836 F
0.671 0.385 0.192 F
0.329 0.615 0.808 F
0.000 0.000 0.000 K
0.280 0.238 0.619 Ru
0.720 0.762 0.381 Ru
```